Entry 1:
Density functional theory data (PBE) for a relaxed LiGdCl2 crystal.

abc: 3.7884 3.7884 8.4148
angles: 76.99 76.99 60.00
Site moments in Bohr magnetons follow the coordinates.
Positions (direct):
Gd 0.0000 0.0000 0.0000  6.93
Li 0.5000 0.5000 0.5000  0.00
Cl 0.1095 0.1095 0.6715  -0.01
Cl 0.8905 0.8905 0.3285  -0.01

Results
Symmetry = R-3m
Formation energy from raw total energies = -1.50 eV/atom

---

Entry 2:
Density functional theory data (PBE) for a relaxed LiGdCl4 crystal.

abc: 8.0794 8.0794 8.0794
angles: 132.34 132.34 69.69
Site moments in Bohr magnetons follow the coordinates.
Positions (direct):
Li 0.0000 0.0000 0.0000  0.00
Li 0.7500 0.2500 0.5000  0.00
Gd 0.2500 0.7500 0.5000  6.94
Gd 0.5000 0.5000 0.0000  6.94
Cl 0.9080 0.7961 0.5443  -0.01
Cl 0.1137 0.1580 0.6119  -0.01
Cl 0.4982 0.8863 0.0443  -0.01
Cl 0.2039 0.7482 0.1119  -0.01
Cl 0.6363 0.0920 0.8881  -0.01
Cl 0.8420 0.4539 0.9557  -0.01
Cl 0.2518 0.3637 0.4557  -0.01
Cl 0.5461 0.5018 0.3881  -0.01

Results
Symmetry = I4_1/a
Formation energy from raw total energies = -2.10 eV/atom

---

Entry 3:
Density functional theory data (PBE) for a relaxed Rb2LiGdCl6 crystal.

abc: 7.4402 7.4402 7.4405
angles: 59.99 59.99 59.99
Site moments in Bohr magnetons follow the coordinates.
Positions (direct):
Gd 0.0000 0.0000 0.0000  6.92
Li 0.5000 0.5000 0.5000  0.00
Rb 0.7500 0.7500 0.7501  0.00
Rb 0.2500 0.2500 0.2500  0.00
Cl 0.7467 0.7467 0.2534  0.00
Cl 0.2534 0.7467 0.2534  0.00
Cl 0.7467 0.2534 0.2534  0.00
Cl 0.2534 0.2534 0.7467  0.00
Cl 0.7467 0.2534 0.7467  0.00
Cl 0.2534 0.7467 0.7467  0.00

Results
Symmetry = Fm-3m
Formation energy from raw total energies = -2.09 eV/atom